(1)
{"formula": "PmNpGeRh", "functional": "PBE", "state": "optimized geometry", "sg": "F-43m", "e_tot_ev_per_atom": -7.688, "delta_e_f_ev_per_atom": -0.273, "lattice_angstrom": [[7.094, 0.000, 0.000], [0.000, 7.094, 0.000], [0.000, 0.000, 7.094]], "species": ["Pm", "Pm", "Pm", "Pm", "Np", "Np", "Np", "Np", "Ge", "Ge", "Ge", "Ge", "Rh", "Rh", "Rh", "Rh"], "fractional_positions": [[0.000, 0.000, 0.000], [0.000, 0.500, 0.500], [0.500, 0.000, 0.500], [0.500, 0.500, 0.000], [0.000, 0.000, 0.500], [0.000, 0.500, 0.000], [0.500, 0.000, 0.000], [0.500, 0.500, 0.500], [0.250, 0.250, 0.750], [0.250, 0.750, 0.250], [0.750, 0.250, 0.250], [0.750, 0.750, 0.750], [0.250, 0.250, 0.250], [0.250, 0.750, 0.750], [0.750, 0.250, 0.750], [0.750, 0.750, 0.250]]}

(2)
{"formula": "LiNd2Ga5Ni2", "functional": "PBE", "state": "optimized geometry", "sg": "P4/mbm", "e_tot_ev_per_atom": -4.327, "delta_e_f_ev_per_atom": -0.512, "lattice_angstrom": [[9.501, 0.000, 0.000], [0.000, 9.501, 0.000], [0.000, 0.000, 4.075]], "species": ["Li", "Li", "Nd", "Nd", "Nd", "Nd", "Ga", "Ga", "Ga", "Ga", "Ga", "Ga", "Ga", "Ga", "Ga", "Ga", "Ni", "Ni", "Ni", "Ni"], "fractional_positions": [[0.000, 0.000, 0.000], [0.500, 0.500, 0.000], [0.185, 0.315, 0.000], [0.315, 0.815, 0.000], [0.685, 0.185, 0.000], [0.815, 0.685, 0.000], [0.000, 0.500, 0.500], [0.059, 0.785, 0.500], [0.215, 0.059, 0.500], [0.285, 0.559, 0.500], [0.441, 0.285, 0.500], [0.500, 0.000, 0.500], [0.559, 0.715, 0.500], [0.715, 0.441, 0.500], [0.785, 0.941, 0.500], [0.941, 0.215, 0.500], [0.109, 0.609, 0.000], [0.391, 0.109, 0.000], [0.609, 0.891, 0.000], [0.891, 0.391, 0.000]]}

(3)
{"formula": "Mn2NiN2", "functional": "PBE", "state": "optimized geometry", "sg": "P-3m1", "e_tot_ev_per_atom": -8.096, "lattice_angstrom": [[3.173, 0.000, 0.000], [-1.587, 2.748, 0.000], [0.000, 0.000, 5.370]], "species": ["Mn", "Mn", "Ni", "N", "N"], "fractional_positions": [[0.333, 0.667, 0.336], [0.667, 0.333, 0.664], [0.000, 0.000, 0.000], [0.333, 0.667, 0.715], [0.667, 0.333, 0.285]]}